Record 1
Computed, not measured: a relaxed SrMgTl2Re crystal at the PBE-GGA level of DFT.

Output
symmetry: P4/mmm, No. 123
energy relative to the elements: 1345 meV/atom
energy: -2.746 eV per atom

Lattice parameters (Å, degrees): 5.2985 5.2985 6.1118 90.00 90.00 90.00
Last column: nearest neighbours and their distance in Å.
Positions (direct):
Sr (0.0000, 0.0000, 0.0000)  2 Mg 3.06
Mg (0.0000, 0.0000, 0.5000)  4 Tl 2.65
Tl (0.0000, 0.5000, 0.5000)  2 Mg 2.65
Tl (0.5000, 0.0000, 0.5000)  2 Mg 2.65
Re (0.5000, 0.5000, 0.0000)  4 Sr 3.75, 8 Tl 4.04

Record 2
Computed, not measured: a relaxed SrMgReW2 crystal at the PBE-GGA level of DFT.

Output
symmetry: P4/mmm, No. 123
energy relative to the elements: 3479 meV/atom
energy: -4.848 eV per atom

Lattice parameters (Å, degrees): 4.7251 4.7251 4.6931 90.00 90.00 90.00
Last column: nearest neighbours and their distance in Å.
Positions (direct):
Sr (0.0000, 0.0000, 0.0000)  2 Mg 2.35, 4 W 2.36
Mg (0.0000, 0.0000, 0.5000)  2 Sr 2.35
Re (0.5000, 0.5000, 0.5000)  8 W 3.33, 4 Mg 3.34
W (0.0000, 0.5000, 0.0000)  2 Sr 2.36
W (0.5000, 0.0000, 0.0000)  2 Sr 2.36

Record 3
Computed, not measured: a relaxed SrYMg2Re crystal at the PBE-GGA level of DFT.

Output
symmetry: P4/mmm, No. 123
energy relative to the elements: 1077 meV/atom
energy: -3.680 eV per atom

Lattice parameters (Å, degrees): 5.6883 5.6883 5.0331 90.00 90.00 90.00
Last column: nearest neighbours and their distance in Å.
Positions (direct):
Sr (0.0000, 0.0000, 0.0000)  8 Mg 3.80, 4 Re 4.02
Y (0.5000, 0.5000, 0.5000)  2 Re 2.52
Mg (0.0000, 0.5000, 0.5000)  2 Y 2.84
Mg (0.5000, 0.0000, 0.5000)  2 Y 2.84
Re (0.5000, 0.5000, 0.0000)  2 Y 2.52

Record 4
Computed, not measured: a relaxed SrMg2ZnRe crystal at the PBE-GGA level of DFT.

Output
symmetry: P4/mmm, No. 123
energy relative to the elements: 902 meV/atom
energy: -2.817 eV per atom

Lattice parameters (Å, degrees): 5.1926 5.1926 5.5079 90.00 90.00 90.00
Last column: nearest neighbours and their distance in Å.
Positions (direct):
Sr (0.0000, 0.0000, 0.0000)  2 Re 2.75
Mg (0.0000, 0.5000, 0.5000)  2 Re 2.60
Mg (0.5000, 0.0000, 0.5000)  2 Re 2.60
Zn (0.5000, 0.5000, 0.0000)  4 Sr 3.67, 8 Mg 3.78
Re (0.0000, 0.0000, 0.5000)  4 Mg 2.60, 2 Sr 2.75

Which value of energy does entry 4 give? -2.817 eV per atom

The highest energy belongs to which entry? SrMgTl2Re

The highest energy relative to the elements belongs to which entry? SrMgReW2